(1)
# RbMg2GaRu

RbMg2GaRu after structural relaxation (GGA-PBE, Alexandria via LeMat-Bulk).

It has space group P4/mmm (No. 123), with a = 5.176 Å, b = 5.176 Å, c = 4.917 Å, α = 90.00°, β = 90.00° and γ = 90.00°. The asymmetric unit holds Rb at (0.000, 0.000, 0.000), Mg at (0.000, 0.500, 0.500), Ga at (0.500, 0.500, 0.000) and Ru at (0.500, 0.500, 0.500).

As for the magnetization: 0.000 μB/cell. The calculation puts the formation energy at 20 meV per atom. Its density of states at the Fermi level is 0.367 states/eV per atom.

(2)
# RbMgGaS3

RbMgGaS3 after structural relaxation (GGA-PBE, Alexandria via LeMat-Bulk).

It has space group P2_1/m (No. 11), with a = 8.786 Å, b = 3.815 Å, c = 10.317 Å, α = 90.00°, β = 110.30° and γ = 90.00°. The asymmetric unit holds Rb at (0.226, 0.250, 0.220), Mg at (0.364, 0.750, 0.902), Ga at (0.103, 0.250, 0.630), S at (0.122, 0.250, 0.847), S at (0.178, 0.750, 0.527) and S at (0.485, 0.750, 0.158).

As for the magnetization: 0.000 μB/cell. Its formation energy (no corrections) is -1.040 eV per atom.

(3)
# Rb2MgGaS4

Rb2MgGaS4 after structural relaxation (GGA-PBE, Alexandria via LeMat-Bulk).

It has space group I-42m (No. 121), with a = 7.973 Å, b = 7.973 Å, c = 6.769 Å, α = 90.00°, β = 90.00° and γ = 90.00°. The asymmetric unit holds Rb at (0.000, 0.500, 0.000), Mg at (0.000, 0.000, 0.000), Ga at (0.000, 0.000, 0.500) and S at (0.151, 0.151, 0.268).

As for the magnetization: 0.699 μB/cell. Its formation energy (no corrections) is -0.927 eV per atom. Its density of states at the Fermi level is 1.107 states/eV per atom.

(4)
# Rb2MgScGa

Rb2MgScGa after structural relaxation (GGA-PBE, Alexandria via LeMat-Bulk).

It has space group P4/mmm (No. 123), with a = 6.722 Å, b = 6.722 Å, c = 5.870 Å, α = 90.00°, β = 90.00° and γ = 90.00°. The asymmetric unit holds Rb at (0.000, 0.500, 0.000), Mg at (0.000, 0.000, 0.000), Sc at (0.000, 0.000, 0.500) and Ga at (0.500, 0.500, 0.500).

As for the magnetization: 1.899 μB/cell. The calculation puts the formation energy at 860 meV per atom. Its density of states at the Fermi level is 1.375 states/eV per atom.

(5)
# Rb2MgGaSe4

Rb2MgGaSe4 after structural relaxation (GGA-PBE, Alexandria via LeMat-Bulk).

It has space group I-42m (No. 121), with a = 8.265 Å, b = 8.265 Å, c = 7.060 Å, α = 90.00°, β = 90.00° and γ = 90.00°. The asymmetric unit holds Rb at (0.000, 0.500, 0.000), Mg at (0.000, 0.000, 0.000), Ga at (0.000, 0.000, 0.500) and Se at (0.156, 0.156, 0.267).

As for the magnetization: 0.001 μB/cell. Its formation energy (no corrections) is -0.904 eV per atom. Its density of states at the Fermi level is 0.996 states/eV per atom.

(6)
# RbMgGaSe3

RbMgGaSe3 after structural relaxation (GGA-PBE, Alexandria via LeMat-Bulk).

It has space group P2_1/m (No. 11), with a = 9.162 Å, b = 3.998 Å, c = 10.749 Å, α = 90.00°, β = 110.02° and γ = 90.00°. The asymmetric unit holds Rb at (0.223, 0.250, 0.219), Mg at (0.364, 0.750, 0.903), Ga at (0.096, 0.250, 0.629), Se at (0.121, 0.250, 0.852), Se at (0.184, 0.750, 0.529) and Se at (0.484, 0.750, 0.161).

As for the magnetization: 0.000 μB/cell. Its formation energy (no corrections) is -0.960 eV per atom. Its density of states at the Fermi level is 0.031 states/eV per atom.

(7)
# RbMgGa2Sn4

RbMgGa2Sn4 after structural relaxation (GGA-PBE, Alexandria via LeMat-Bulk).

It has space group R-3m (No. 166, hexagonal axes), with a = 5.1296 Å, b = 5.1296 Å, c = 31.4139 Å, α = 90.00°, β = 90.00° and γ = 120.00°. The asymmetric unit holds Rb at (0.0000, 0.0000, 0.0000), Mg at (0.0000, 0.0000, 0.5000), Ga at (0.0000, 0.0000, 0.2349), Sn at (0.0000, 0.0000, 0.1308) and Sn at (0.0000, 0.0000, 0.4102).

As for the magnetization: 0.000 μB/cell. The calculation puts the formation energy at -23 meV per atom. Its density of states at the Fermi level is 0.462 states/eV per atom.

(8)
# RbMg2GaSn2

RbMg2GaSn2 after structural relaxation (GGA-PBE, Alexandria via LeMat-Bulk).

It has space group Pnnm (No. 58), with a = 8.181 Å, b = 10.778 Å, c = 4.796 Å, α = 90.00°, β = 90.00° and γ = 90.00°. The asymmetric unit holds Rb at (0.000, 0.000, 0.000), Mg at (0.012, 0.318, 0.500), Ga at (0.000, 0.500, 0.000) and Sn at (0.208, 0.319, 0.000).

As for the magnetization: 0.000 μB/cell. The calculation puts the formation energy at 30 meV per atom. Its density of states at the Fermi level is 0.295 states/eV per atom.

(9)
# RbMgGa2Sn

RbMgGa2Sn after structural relaxation (GGA-PBE, Alexandria via LeMat-Bulk).

It has space group Imm2 (No. 44), with a = 4.751 Å, b = 4.782 Å, c = 11.999 Å, α = 90.00°, β = 90.00° and γ = 90.00°. The asymmetric unit holds Rb at (0.000, 0.000, 0.000), Mg at (0.000, 0.500, 0.757), Ga at (0.000, 0.000, 0.383), Ga at (0.000, 0.500, 0.263) and Sn at (0.000, 0.000, 0.617).

As for the magnetization: 0.000 μB/cell. The calculation puts the formation energy at -124 meV per atom. Its density of states at the Fermi level is 0.370 states/eV per atom.

(10)
# RbMgGa2Sn2

RbMgGa2Sn2 after structural relaxation (GGA-PBE, Alexandria via LeMat-Bulk).

It has space group P-3m1 (No. 164), with a = 4.7931 Å, b = 4.7931 Å, c = 8.9451 Å, α = 90.00°, β = 90.00° and γ = 120.00°. The asymmetric unit holds Rb at (0.0000, 0.0000, 0.0000), Mg at (0.0000, 0.0000, 0.5000), Ga at (0.3333, 0.6667, 0.3805) and Sn at (0.3333, 0.6667, 0.7110).

As for the magnetization: 0.000 μB/cell. The calculation puts the formation energy at -154 meV per atom. Its density of states at the Fermi level is 0.462 states/eV per atom.

(11)
# Rb2MgGaTc

Rb2MgGaTc after structural relaxation (GGA-PBE, Alexandria via LeMat-Bulk).

It has space group P4/mmm (No. 123), with a = 6.813 Å, b = 6.813 Å, c = 5.121 Å, α = 90.00°, β = 90.00° and γ = 90.00°. The asymmetric unit holds Rb at (0.000, 0.500, 0.000), Mg at (0.000, 0.000, 0.000), Ga at (0.500, 0.500, 0.500) and Tc at (0.000, 0.000, 0.500).

As for the magnetization: 3.038 μB/cell. The calculation puts the formation energy at 1232 meV per atom. Its density of states at the Fermi level is 1.596 states/eV per atom.

(12)
# RbMg2GaTe

RbMg2GaTe after structural relaxation (GGA-PBE, Alexandria via LeMat-Bulk).

It has space group P4/mmm (No. 123), with a = 5.613 Å, b = 5.613 Å, c = 6.663 Å, α = 90.00°, β = 90.00° and γ = 90.00°. The asymmetric unit holds Rb at (0.000, 0.000, 0.000), Mg at (0.000, 0.500, 0.500), Ga at (0.500, 0.500, 0.000) and Te at (0.000, 0.000, 0.500).

As for the magnetization: 0.000 μB/cell. Its formation energy (no corrections) is 0.235 eV per atom. The energy above the most stable polymorph in this dataset is 31 meV per atom. Its density of states at the Fermi level is 1.100 states/eV per atom.

(13)
# RbMgGaTe3

RbMgGaTe3 after structural relaxation (GGA-PBE, Alexandria via LeMat-Bulk).

It has space group P2_1/m (No. 11), with a = 9.801 Å, b = 4.291 Å, c = 11.350 Å, α = 90.00°, β = 109.67° and γ = 90.00°. The asymmetric unit holds Rb at (0.213, 0.250, 0.223), Mg at (0.360, 0.750, 0.905), Ga at (0.089, 0.250, 0.625), Te at (0.123, 0.250, 0.860), Te at (0.194, 0.750, 0.533) and Te at (0.483, 0.750, 0.170).

As for the magnetization: 0.000 μB/cell. Its formation energy (no corrections) is -0.685 eV per atom. Its density of states at the Fermi level is 0.161 states/eV per atom.

(14)
# RbMg2GaTe

RbMg2GaTe after structural relaxation (GGA-PBE, Alexandria via LeMat-Bulk).

It has space group P4/mmm (No. 123), with a = 5.654 Å, b = 5.654 Å, c = 6.427 Å, α = 90.00°, β = 90.00° and γ = 90.00°. The asymmetric unit holds Rb at (0.000, 0.000, 0.000), Mg at (0.000, 0.500, 0.500), Ga at (0.500, 0.500, 0.000) and Te at (0.500, 0.500, 0.500).

As for the magnetization: 0.000 μB/cell. Its formation energy (no corrections) is 0.204 eV per atom. The energy above the most stable polymorph in this dataset is 0 meV per atom. Its density of states at the Fermi level is 0.484 states/eV per atom.

(15)
# RbMg2GaTe

RbMg2GaTe after structural relaxation (GGA-PBE, Alexandria via LeMat-Bulk).

It has space group P4/mmm (No. 123), with a = 6.201 Å, b = 6.201 Å, c = 6.187 Å, α = 90.00°, β = 90.00° and γ = 90.00°. The asymmetric unit holds Rb at (0.000, 0.000, 0.000), Mg at (0.000, 0.500, 0.000), Ga at (0.000, 0.000, 0.500) and Te at (0.500, 0.500, 0.500).

As for the magnetization: 0.000 μB/cell. Its formation energy (no corrections) is 0.983 eV per atom. The energy above the most stable polymorph in this dataset is 778 meV per atom. Its density of states at the Fermi level is 0.323 states/eV per atom.

(16)
# RbMgGaW2

RbMgGaW2 after structural relaxation (GGA-PBE, Alexandria via LeMat-Bulk).

It has space group P4/mmm (No. 123), with a = 5.191 Å, b = 5.191 Å, c = 5.154 Å, α = 90.00°, β = 90.00° and γ = 90.00°. The asymmetric unit holds Rb at (0.000, 0.000, 0.000), Mg at (0.500, 0.500, 0.500), Ga at (0.500, 0.500, 0.000) and W at (0.000, 0.500, 0.500).

As for the magnetization: 6.673 μB/cell. The calculation puts the formation energy at 2281 meV per atom. Its density of states at the Fermi level is 1.263 states/eV per atom.

(17)
# Mg2Ga6Re

Mg2Ga6Re after structural relaxation (GGA-PBE, Alexandria via LeMat-Bulk).

It has space group P4_2/mnm (No. 136), with a = 5.840 Å, b = 5.840 Å, c = 12.351 Å, α = 90.00°, β = 90.00° and γ = 90.00°. The asymmetric unit holds Mg at (0.000, 0.000, 0.239), Ga at (0.201, 0.201, 0.500), Ga at (0.237, 0.763, 0.394) and Re at (0.000, 0.000, 0.000).

As for the magnetization: 0.000 μB/cell. The calculation puts the formation energy at 214 meV per atom. Its density of states at the Fermi level is 0.687 states/eV per atom.

(18)
# Mg3GaRe

Mg3GaRe after structural relaxation (GGA-PBE, Alexandria via LeMat-Bulk).

It has space group Pm-3m (No. 221), with a = 5.117 Å, b = 5.117 Å, c = 5.117 Å, α = 90.00°, β = 90.00° and γ = 90.00°. The asymmetric unit holds Mg at (0.000, 0.000, 0.500), Ga at (0.500, 0.500, 0.500) and Re at (0.000, 0.000, 0.000).

As for the magnetization: 0.859 μB/cell. The calculation puts the formation energy at 980 meV per atom. The energy above the most stable polymorph in this dataset is 0 meV per atom. Its density of states at the Fermi level is 1.130 states/eV per atom.

(19)
# Mg3GaRe

Mg3GaRe after structural relaxation (GGA-PBE, Alexandria via LeMat-Bulk).

It has space group Pm-3m (No. 221), with a = 4.910 Å, b = 4.910 Å, c = 4.910 Å, α = 90.00°, β = 90.00° and γ = 90.00°. The asymmetric unit holds Mg at (0.000, 0.000, 0.500), Ga at (0.000, 0.000, 0.000) and Re at (0.500, 0.500, 0.500).

As for the magnetization: 3.786 μB/cell. The calculation puts the formation energy at 1141 meV per atom. The energy above the most stable polymorph in this dataset is 161 meV per atom. Its density of states at the Fermi level is 0.732 states/eV per atom.

(20)
# MgTa2GaRe

MgTa2GaRe after structural relaxation (GGA-PBE, Alexandria via LeMat-Bulk).

It has space group P4/mmm (No. 123), with a = 4.894 Å, b = 4.894 Å, c = 4.851 Å, α = 90.00°, β = 90.00° and γ = 90.00°. The asymmetric unit holds Mg at (0.000, 0.000, 0.000), Ta at (0.000, 0.500, 0.500), Ga at (0.500, 0.500, 0.000) and Re at (0.500, 0.500, 0.500).

As for the magnetization: 0.000 μB/cell. The calculation puts the formation energy at 984 meV per atom. Its density of states at the Fermi level is 1.028 states/eV per atom.